Entry from Alexandria via LeMat-Bulk: Ce2Al4CdPt3 after structural relaxation (PBE). Values from VASP.

Output
- magnetization (μB/f.u.) = 1.2
- space group = P-4m2, No. 115
- formation energy (eV/atom) = -0.8806
- calculated density (g cm⁻³) = 9.13
- density of states at the Fermi level (states/eV per cell) = 12.60

Cell and atoms, written as Quantum ESPRESSO input:
```
&SYSTEM
  ibrav = 0, nat = 10, ntyp = 4
/
ATOMIC_SPECIES
Pt 195.08 Pt.upf
Ce 140.12 Ce.upf
Al 26.98 Al.upf
Cd 112.41 Cd.upf
ATOMIC_POSITIONS crystal
Pt 0.5000 0.0000 0.8711
Pt 0.0000 0.0000 0.5000
Pt 0.0000 0.5000 0.1289
Ce 0.0000 0.5000 0.7598
Ce 0.5000 0.0000 0.2402
Al 0.0000 0.0000 0.0000
Al 0.5000 0.0000 0.6409
Al 0.5000 0.5000 0.0000
Al 0.0000 0.5000 0.3591
Cd 0.5000 0.5000 0.5000
CELL_PARAMETERS angstrom
4.2967 0.0000 0.0000
0.0000 4.2967 0.0000
0.0000 0.0000 10.6919
```